No. 1
A plane-wave DFT calculation with PBE was carried out for BC after structural relaxation.

a = 8.7628 Å, b = 2.6072 Å, c = 8.2670 Å
α = 90.00°, β = 121.58°, γ = 90.00°
Closest atoms and distances in Å follow each position.
Space group C2/m (No. 12)
Symmetry-distinct sites (fractional):
B 0.0299 0.0000 0.1154 x4  2 C 1.65, 1 B 1.69
B 0.1348 0.0000 0.6430 x4  3 C 1.54-1.60
B 0.2233 0.0000 0.0632 x4  1 C 1.64
C 0.0557 0.5000 0.2493 x4  2 C 1.53-1.56, 2 B 1.65
C 0.1018 0.5000 0.7189 x4  1 C 1.53, 3 B 1.54-1.64
C 0.2376 0.5000 0.4419 x4  3 C 1.56-1.57, 1 B 1.60

E_tot = -15.3 eV per formula unit
Crystal system = monoclinic
E_form = 0.308 eV/atom

No. 2
A plane-wave DFT calculation with PBE was carried out for BC after structural relaxation.

a = 4.4140 Å, b = 2.5997 Å, c = 6.9918 Å
α = 90.00°, β = 91.04°, γ = 90.00°
Closest atoms and distances in Å follow each position.
Space group Pm (No. 6)
Symmetry-distinct sites (fractional):
B 0.0000 0.0000 0.0000 x1  1 C 1.66, 3 B 1.67-1.78
B 0.0392 0.0000 0.7631 x1  3 B 1.67-1.82
B 0.1932 0.5000 0.1271 x1  1 C 1.56
B 0.4374 0.0000 0.6484 x1  3 C 1.56-1.63
B 0.5903 0.5000 0.9861 x1  3 C 1.56-1.60
B 0.8418 0.5000 0.6289 x1  2 C 1.60-1.73
C 0.2064 0.5000 0.3497 x1  1 B 1.56, 3 C 1.57
C 0.3741 0.0000 0.4186 x1  3 C 1.57, 1 B 1.63
C 0.5142 0.5000 0.7614 x1  4 B 1.56-1.73
C 0.6639 0.0000 0.1025 x1  1 C 1.55, 3 B 1.56-1.66
C 0.6947 0.0000 0.3235 x1  4 C 1.55-1.58
C 0.8603 0.5000 0.4000 x1  3 C 1.57-1.58, 1 B 1.60

E_tot = -15.0 eV per formula unit
Crystal system = monoclinic
E_form = 0.434 eV/atom

No. 3
A plane-wave DFT calculation with PBE was carried out for BC after structural relaxation.

a = 4.7811 Å, b = 2.6080 Å, c = 6.4478 Å
α = 90.00°, β = 95.69°, γ = 90.00°
Closest atoms and distances in Å follow each position.
Space group Pm (No. 6)
Symmetry-distinct sites (fractional):
B 0.0000 0.0000 0.0000 x1  3 C 1.66-1.70
B 0.0648 0.0000 0.2931 x1  4 B 1.72-1.88
B 0.2856 0.0000 0.5739 x1  2 C 1.67, 2 B 1.72-1.85
B 0.4250 0.0000 0.3377 x1  2 C 1.56, 2 B 1.72
B 0.6656 0.0000 0.6621 x1  3 C 1.64-1.68
B 0.8240 0.5000 0.3499 x1  2 C 1.55-1.58
C 0.1410 0.5000 0.6853 x1  2 C 1.48
C 0.1877 0.5000 0.9159 x1  2 C 1.48-1.56
C 0.5056 0.5000 0.9961 x1  4 C 1.53-1.59
C 0.5251 0.5000 0.2338 x1  1 C 1.53, 3 B 1.55-1.56
C 0.6586 0.0000 0.9226 x1  2 C 1.59, 2 B 1.66-1.68
C 0.8440 0.5000 0.5964 x1  1 C 1.48, 3 B 1.58-1.64

E_tot = -15.1 eV per formula unit
Crystal system = monoclinic
E_form = 0.402 eV/atom

> Which formula does entry 1 have?

BC